Entry 1:
# MoOs2RuC PBE-GGA relaxed
# excess energy over the best structure of this formula in the dataset: 0.000 eV/atom
# ΔE_f: 2.4449 eV per atom
data_MoOs2RuC
_cell_length_a 4.748
_cell_length_b 4.748
_cell_length_c 3.907
_cell_angle_alpha 90.00
_cell_angle_beta 90.00
_cell_angle_gamma 90.00
_space_group_name_H-M_alt 'P 4/m m m'
_space_group_IT_number 123
_space_group_name_Hall '-P 4 2'
loop_
_atom_site_label
_atom_site_type_symbol
_atom_site_fract_x
_atom_site_fract_y
_atom_site_fract_z
Mo1 Mo 0.000 0.000 0.000
Os1 Os 0.000 0.500 0.000
Ru1 Ru 0.500 0.500 0.500
C1 C 0.000 0.000 0.500

Entry 2:
# Zr2Ga6Ir PBE-GGA relaxed
# ΔE_f: -0.4508 eV per atom
data_Zr2Ga6Ir
_cell_length_a 6.400
_cell_length_b 11.505
_cell_length_c 4.225
_cell_angle_alpha 90.00
_cell_angle_beta 90.00
_cell_angle_gamma 90.00
_space_group_name_H-M_alt 'C m m m'
_space_group_IT_number 65
_space_group_name_Hall '-C 2 2'
loop_
_atom_site_label
_atom_site_type_symbol
_atom_site_fract_x
_atom_site_fract_y
_atom_site_fract_z
Zr1 Zr 0.000 0.219 0.000
Ga1 Ga 0.201 0.355 0.500
Ga2 Ga 0.224 0.500 0.000
Ir1 Ir 0.000 0.000 0.500

Entry 3:
# Sm12Ho3Al PBE-GGA relaxed
# ΔE_f: -0.0169 eV per atom
data_Sm12Ho3Al
_cell_length_a 5.014
_cell_length_b 5.014
_cell_length_c 20.325
_cell_angle_alpha 90.00
_cell_angle_beta 90.00
_cell_angle_gamma 90.00
_space_group_name_H-M_alt 'P 4/m m m'
_space_group_IT_number 123
_space_group_name_Hall '-P 4 2'
loop_
_atom_site_label
_atom_site_type_symbol
_atom_site_fract_x
_atom_site_fract_y
_atom_site_fract_z
Sm1 Sm 0.000 0.000 0.000
Sm2 Sm 0.000 0.000 0.244
Sm3 Sm 0.000 0.000 0.500
Sm4 Sm 0.000 0.500 0.117
Sm5 Sm 0.000 0.500 0.372
Ho1 Ho 0.500 0.500 0.246
Ho2 Ho 0.500 0.500 0.500
Al1 Al 0.500 0.500 0.000

Entry 4:
# CoNiPS2 PBE-GGA relaxed
# excess energy over the best structure of this formula in the dataset: 0.082 eV/atom
# uncorrected formation energy: 0.810 eV per atom
data_CoNiPS2
_cell_length_a 4.597
_cell_length_b 4.597
_cell_length_c 4.121
_cell_angle_alpha 90.00
_cell_angle_beta 90.00
_cell_angle_gamma 90.00
_space_group_name_H-M_alt 'P 4/m m m'
_space_group_IT_number 123
_space_group_name_Hall '-P 4 2'
loop_
_atom_site_label
_atom_site_type_symbol
_atom_site_fract_x
_atom_site_fract_y
_atom_site_fract_z
Co1 Co 0.000 0.000 0.000
Ni1 Ni 0.500 0.500 0.500
P1 P 0.500 0.500 0.000
S1 S 0.000 0.500 0.500

Entry 5:
# La5Sm2TmTh PBE-GGA relaxed
# ΔE_f: 0.1218 eV per atom
data_La5Sm2TmTh
_cell_length_a 5.547
_cell_length_b 21.865
_cell_length_c 10.645
_cell_angle_alpha 90.00
_cell_angle_beta 90.00
_cell_angle_gamma 90.00
_space_group_name_H-M_alt 'C m c m'
_space_group_IT_number 63
_space_group_name_Hall '-C 2c 2'
loop_
_atom_site_label
_atom_site_type_symbol
_atom_site_fract_x
_atom_site_fract_y
_atom_site_fract_z
La1 La 0.000 0.000 0.000
La2 La 0.000 0.130 0.250
La3 La 0.000 0.224 0.558
La4 La 0.000 0.498 0.250
Sm1 Sm 0.000 0.388 0.001
Tm1 Tm 0.000 0.103 0.750
Th1 Th 0.000 0.292 0.250

Entry 6:
# LaNd7Cd3 PBE-GGA relaxed
# ΔE_f: 0.0222 eV per atom
data_LaNd7Cd3
_cell_length_a 11.773
_cell_length_b 11.914
_cell_length_c 5.948
_cell_angle_alpha 90.00
_cell_angle_beta 120.26
_cell_angle_gamma 90.00
_space_group_name_H-M_alt 'C 1 2/m 1'
_space_group_IT_number 12
loop_
_space_group_symop_operation_xyz
'x,y,z'
'-x,-y,-z'
'-x,y,-z'
'x,-y,z'
'x+1/2,y+1/2,z'
'-x+1/2,-y+1/2,-z'
'-x+1/2,y+1/2,-z'
'x+1/2,-y+1/2,z'
loop_
_atom_site_label
_atom_site_type_symbol
_atom_site_fract_x
_atom_site_fract_y
_atom_site_fract_z
La1 La 0.000 0.000 0.000
Nd1 Nd 0.000 0.000 0.500
Nd2 Nd 0.176 0.500 0.676
Nd3 Nd 0.180 0.287 0.180
Cd1 Cd 0.000 0.269 0.500
Cd2 Cd 0.000 0.500 0.000

Entry 7:
# CaOsPt PBE-GGA relaxed
# excess energy over the best structure of this formula in the dataset: 1.253 eV/atom
# ΔE_f: 1.3330 eV per atom
data_CaOsPt
_cell_length_a 6.365
_cell_length_b 6.365
_cell_length_c 6.365
_cell_angle_alpha 90.00
_cell_angle_beta 90.00
_cell_angle_gamma 90.00
_space_group_name_H-M_alt 'F -4 3 m'
_space_group_IT_number 216
_space_group_name_Hall 'F -4 2 3'
loop_
_atom_site_label
_atom_site_type_symbol
_atom_site_fract_x
_atom_site_fract_y
_atom_site_fract_z
Ca1 Ca 0.000 0.000 0.000
Os1 Os 0.250 0.250 0.250
Pt1 Pt 0.250 0.250 0.750

Entry 8:
# Cs4AgPb3Br12 PBE-GGA relaxed
# uncorrected formation energy: -1.177 eV per atom
data_Cs4AgPb3Br12
_cell_length_a 11.714
_cell_length_b 11.714
_cell_length_c 11.714
_cell_angle_alpha 90.00
_cell_angle_beta 90.00
_cell_angle_gamma 90.00
_space_group_name_H-M_alt 'I m -3 m'
_space_group_IT_number 229
_space_group_name_Hall '-I 4 2 3'
loop_
_atom_site_label
_atom_site_type_symbol
_atom_site_fract_x
_atom_site_fract_y
_atom_site_fract_z
Cs1 Cs 0.250 0.250 0.250
Ag1 Ag 0.000 0.000 0.000
Pb1 Pb 0.000 0.000 0.500
Br1 Br 0.000 0.000 0.244
Br2 Br 0.000 0.250 0.500

Entry 9:
# La4CeTl5 PBE-GGA relaxed
# ΔE_f: -0.3782 eV per atom
data_La4CeTl5
_cell_length_a 3.948
_cell_length_b 3.948
_cell_length_c 20.105
_cell_angle_alpha 90.00
_cell_angle_beta 90.00
_cell_angle_gamma 90.00
_space_group_name_H-M_alt 'P 4/m m m'
_space_group_IT_number 123
_space_group_name_Hall '-P 4 2'
loop_
_atom_site_label
_atom_site_type_symbol
_atom_site_fract_x
_atom_site_fract_y
_atom_site_fract_z
La1 La 0.000 0.000 0.101
La2 La 0.000 0.000 0.303
Ce1 Ce 0.000 0.000 0.500
Tl1 Tl 0.500 0.500 0.000
Tl2 Tl 0.500 0.500 0.202
Tl3 Tl 0.500 0.500 0.404

Entry 10:
# CrAgBr2 PBE-GGA relaxed
# excess energy over the best structure of this formula in the dataset: 0.019 eV/atom
# uncorrected formation energy: -0.072 eV per atom
data_CrAgBr2
_cell_length_a 3.7227
_cell_length_b 3.7227
_cell_length_c 24.5825
_cell_angle_alpha 90.00
_cell_angle_beta 90.00
_cell_angle_gamma 120.00
_space_group_name_H-M_alt 'R 3 m'
_space_group_IT_number 160
_space_group_name_Hall 'R 3 -2"'
loop_
_atom_site_label
_atom_site_type_symbol
_atom_site_fract_x
_atom_site_fract_y
_atom_site_fract_z
Cr1 Cr 0.0000 0.0000 0.0000
Ag1 Ag 0.0000 0.0000 0.7353
Br1 Br 0.0000 0.0000 0.2770
Br2 Br 0.0000 0.0000 0.4708

Entry 11:
# Pm2InBi PBE-GGA relaxed
# excess energy over the best structure of this formula in the dataset: 0.160 eV/atom
# ΔE_f: -0.5183 eV per atom
data_Pm2InBi
_cell_length_a 8.411
_cell_length_b 4.347
_cell_length_c 14.576
_cell_angle_alpha 90.00
_cell_angle_beta 90.00
_cell_angle_gamma 90.00
_space_group_name_H-M_alt 'P n m a'
_space_group_IT_number 62
loop_
_space_group_symop_operation_xyz
'x,y,z'
'-x,-y,-z'
'-x+1/2,-y,z+1/2'
'x+1/2,y,-z+1/2'
'x+1/2,-y+1/2,-z+1/2'
'-x+1/2,y+1/2,z+1/2'
'-x,y+1/2,-z'
'x,-y+1/2,z'
loop_
_atom_site_label
_atom_site_type_symbol
_atom_site_fract_x
_atom_site_fract_y
_atom_site_fract_z
Pm1 Pm 0.183 0.250 0.237
Pm2 Pm 0.187 0.750 0.992
In1 In 0.049 0.750 0.574
Bi1 Bi 0.074 0.250 0.837

Entry 12:
# Pu2BSe4 PBE-GGA relaxed
# uncorrected formation energy: -0.860 eV per atom
data_Pu2BSe4
_cell_length_a 6.416
_cell_length_b 6.437
_cell_length_c 8.316
_cell_angle_alpha 90.00
_cell_angle_beta 106.45
_cell_angle_gamma 90.00
_space_group_name_H-M_alt 'P 1 21/m 1'
_space_group_IT_number 11
loop_
_space_group_symop_operation_xyz
'x,y,z'
'-x,-y,-z'
'-x,y+1/2,-z'
'x,-y+1/2,z'
loop_
_atom_site_label
_atom_site_type_symbol
_atom_site_fract_x
_atom_site_fract_y
_atom_site_fract_z
Pu1 Pu 0.224 0.250 0.440
Pu2 Pu 0.252 0.250 0.942
B1 B 0.329 0.750 0.773
Se1 Se 0.087 0.750 0.378
Se2 Se 0.107 0.750 0.896
Se3 Se 0.494 0.000 0.748

Entry 13:
# TbNbSi2Os PBE-GGA relaxed
# uncorrected formation energy: -0.621 eV per atom
data_TbNbSi2Os
_cell_length_a 4.035
_cell_length_b 4.035
_cell_length_c 10.957
_cell_angle_alpha 90.00
_cell_angle_beta 90.00
_cell_angle_gamma 90.00
_space_group_name_H-M_alt 'I -4 m 2'
_space_group_IT_number 119
_space_group_name_Hall 'I -4 -2'
loop_
_atom_site_label
_atom_site_type_symbol
_atom_site_fract_x
_atom_site_fract_y
_atom_site_fract_z
Tb1 Tb 0.000 0.000 0.000
Nb1 Nb 0.000 0.500 0.750
Si1 Si 0.000 0.000 0.391
Os1 Os 0.000 0.500 0.250

Entry 14:
# LiLaZn2Rh PBE-GGA relaxed
# ΔE_f: -0.2099 eV per atom
data_LiLaZn2Rh
_cell_length_a 4.830
_cell_length_b 4.830
_cell_length_c 4.562
_cell_angle_alpha 90.00
_cell_angle_beta 90.00
_cell_angle_gamma 90.00
_space_group_name_H-M_alt 'P 4/m m m'
_space_group_IT_number 123
_space_group_name_Hall '-P 4 2'
loop_
_atom_site_label
_atom_site_type_symbol
_atom_site_fract_x
_atom_site_fract_y
_atom_site_fract_z
Li1 Li 0.000 0.000 0.000
La1 La 0.500 0.500 0.000
Zn1 Zn 0.000 0.500 0.500
Rh1 Rh 0.000 0.000 0.500

Entry 15:
# PrPaPd2 PBE-GGA relaxed
# excess energy over the best structure of this formula in the dataset: 0.092 eV/atom
# ΔE_f: -0.4298 eV per atom
data_PrPaPd2
_cell_length_a 7.153
_cell_length_b 7.153
_cell_length_c 7.153
_cell_angle_alpha 90.00
_cell_angle_beta 90.00
_cell_angle_gamma 90.00
_space_group_name_H-M_alt 'F m -3 m'
_space_group_IT_number 225
_space_group_name_Hall '-F 4 2 3'
loop_
_atom_site_label
_atom_site_type_symbol
_atom_site_fract_x
_atom_site_fract_y
_atom_site_fract_z
Pr1 Pr 0.000 0.000 0.000
Pa1 Pa 0.000 0.000 0.500
Pd1 Pd 0.250 0.250 0.250

Entry 16:
# Ba12Bi3Te5 PBE-GGA relaxed
# uncorrected formation energy: -1.024 eV per atom
data_Ba12Bi3Te5
_cell_length_a 20.472
_cell_length_b 20.472
_cell_length_c 20.472
_cell_angle_alpha 90.00
_cell_angle_beta 90.00
_cell_angle_gamma 90.00
_space_group_name_H-M_alt 'I a -3 d'
_space_group_IT_number 230
_space_group_name_Hall '-I 4bd 2c 3'
loop_
_atom_site_label
_atom_site_type_symbol
_atom_site_fract_x
_atom_site_fract_y
_atom_site_fract_z
Ba1 Ba 0.017 0.069 0.654
Bi1 Bi 0.000 0.250 0.125
Te1 Te 0.000 0.000 0.000
Te2 Te 0.000 0.250 0.375

Entry 17:
# Hg3AuN PBE-GGA relaxed
# excess energy over the best structure of this formula in the dataset: 0.429 eV/atom
# uncorrected formation energy: 1.024 eV per atom
data_Hg3AuN
_cell_length_a 5.478
_cell_length_b 5.478
_cell_length_c 5.478
_cell_angle_alpha 90.00
_cell_angle_beta 90.00
_cell_angle_gamma 90.00
_space_group_name_H-M_alt 'P m -3 m'
_space_group_IT_number 221
_space_group_name_Hall '-P 4 2 3'
loop_
_atom_site_label
_atom_site_type_symbol
_atom_site_fract_x
_atom_site_fract_y
_atom_site_fract_z
Hg1 Hg 0.000 0.000 0.500
Au1 Au 0.000 0.000 0.000
N1 N 0.500 0.500 0.500

Entry 18:
# RbVAu PBE-GGA relaxed
# excess energy over the best structure of this formula in the dataset: 0.064 eV/atom
# ΔE_f: 0.3329 eV per atom
data_RbVAu
_cell_length_a 4.884
_cell_length_b 5.473
_cell_length_c 7.159
_cell_angle_alpha 108.85
_cell_angle_beta 106.20
_cell_angle_gamma 99.49
_space_group_name_H-M_alt 'P -1'
_space_group_IT_number 2
loop_
_space_group_symop_operation_xyz
'x,y,z'
'-x,-y,-z'
loop_
_atom_site_label
_atom_site_type_symbol
_atom_site_fract_x
_atom_site_fract_y
_atom_site_fract_z
Rb1 Rb 0.249 0.250 0.499
V1 V 0.155 0.626 0.000
Au1 Au 0.296 0.154 0.000

Entry 19:
# AgSnAs PBE-GGA relaxed
# excess energy over the best structure of this formula in the dataset: 0.031 eV/atom
# ΔE_f: 0.1097 eV per atom
data_AgSnAs
_cell_length_a 6.591
_cell_length_b 6.591
_cell_length_c 6.591
_cell_angle_alpha 90.00
_cell_angle_beta 90.00
_cell_angle_gamma 90.00
_space_group_name_H-M_alt 'F -4 3 m'
_space_group_IT_number 216
_space_group_name_Hall 'F -4 2 3'
loop_
_atom_site_label
_atom_site_type_symbol
_atom_site_fract_x
_atom_site_fract_y
_atom_site_fract_z
Ag1 Ag 0.000 0.000 0.000
Sn1 Sn 0.250 0.250 0.250
As1 As 0.250 0.250 0.750

Entry 20:
# PmThTc4 PBE-GGA relaxed
# ΔE_f: -0.0198 eV per atom
data_PmThTc4
_cell_length_a 7.761
_cell_length_b 7.761
_cell_length_c 7.761
_cell_angle_alpha 90.00
_cell_angle_beta 90.00
_cell_angle_gamma 90.00
_space_group_name_H-M_alt 'F -4 3 m'
_space_group_IT_number 216
_space_group_name_Hall 'F -4 2 3'
loop_
_atom_site_label
_atom_site_type_symbol
_atom_site_fract_x
_atom_site_fract_y
_atom_site_fract_z
Pm1 Pm 0.000 0.000 0.000
Th1 Th 0.250 0.250 0.250
Tc1 Tc 0.125 0.125 0.625